# 1
CuOsAu2: optimized geometry, PBE-GGA.

ΔE to the lowest computed polymorph = 224 kJ/mol of formula units
Space-group type = No. 122
Formation enthalpy at 0 K = 0.88 eV/atom
Spin magnetization = 3.07 μB/cell

CIF file:
```
data_CuOsAu2
_cell_length_a 3.8211
_cell_length_b 3.8211
_cell_length_c 9.8060
_cell_angle_alpha 78.76
_cell_angle_beta 78.76
_cell_angle_gamma 90.00
_space_group_name_H-M_alt 'P 1'
_space_group_IT_number 1
loop_
_space_group_symop_operation_xyz
'x,y,z'
loop_
_atom_site_label
_atom_site_fract_x
_atom_site_fract_y
_atom_site_fract_z
Os1 0.0000 0.0000 0.0000
Au1 0.3750 0.3758 0.7500
Au2 0.1258 0.6250 0.2500
Au3 0.8750 0.8742 0.7500
Cu1 0.5000 0.5000 0.0000
Cu2 0.2500 0.7500 0.5000
Os2 0.7500 0.2500 0.5000
Au4 0.6242 0.1250 0.2500
```

---

# 2
CuOsAu2: optimized geometry, PBE-GGA.

ΔE to the lowest computed polymorph = 115 kJ/mol of formula units
Space-group type = No. 119
Formation enthalpy at 0 K = 0.60 eV/atom
Spin magnetization = 1.53 μB/cell

CIF file:
```
data_CuOsAu2
_cell_length_a 4.8231
_cell_length_b 4.8231
_cell_length_c 4.8231
_cell_angle_alpha 130.62
_cell_angle_beta 130.62
_cell_angle_gamma 72.41
_space_group_name_H-M_alt 'P 1'
_space_group_IT_number 1
loop_
_space_group_symop_operation_xyz
'x,y,z'
loop_
_atom_site_label
_atom_site_fract_x
_atom_site_fract_y
_atom_site_fract_z
Au1 0.0000 0.0000 0.0000
Os1 0.7500 0.2500 0.5000
Cu1 0.5000 0.5000 0.0000
Au2 0.2500 0.7500 0.5000
```

---

# 3
CuOs2Au: optimized geometry, PBE-GGA.

ΔE to the lowest computed polymorph = 140 kJ/mol of formula units
Space-group type = No. 44
Formation enthalpy at 0 K = 0.62 eV/atom
Spin magnetization = 0.00 μB/cell

CIF file:
```
data_CuOs2Au
_cell_length_a 5.2936
_cell_length_b 5.2936
_cell_length_c 5.2936
_cell_angle_alpha 149.02
_cell_angle_beta 127.92
_cell_angle_gamma 61.85
_space_group_name_H-M_alt 'P 1'
_space_group_IT_number 1
loop_
_space_group_symop_operation_xyz
'x,y,z'
loop_
_atom_site_label
_atom_site_fract_x
_atom_site_fract_y
_atom_site_fract_z
Os1 0.7630 0.2630 0.5000
Os2 0.9983 0.9983 0.0000
Au1 0.4932 0.4932 0.0000
Cu1 0.2456 0.7456 0.5000
```

---

# 4
CuOsAu2: optimized geometry, PBE-GGA.

ΔE to the lowest computed polymorph = 33 kJ/mol of formula units
Space-group type = No. 65
Formation enthalpy at 0 K = 0.39 eV/atom
Spin magnetization = 0.00 μB/cell

CIF file:
```
data_CuOsAu2
_cell_length_a 6.4152
_cell_length_b 4.9504
_cell_length_c 2.6957
_cell_angle_alpha 90.01
_cell_angle_beta 65.14
_cell_angle_gamma 122.24
_space_group_name_H-M_alt 'P 1'
_space_group_IT_number 1
loop_
_space_group_symop_operation_xyz
'x,y,z'
loop_
_atom_site_label
_atom_site_fract_x
_atom_site_fract_y
_atom_site_fract_z
Au1 0.0000 0.0000 0.0000
Cu1 0.0000 0.5000 0.5000
Au2 0.5000 0.0000 0.5000
Os1 0.5000 0.5000 0.0000
```

---

# 5
CuOsAu2: optimized geometry, PBE-GGA.

ΔE to the lowest computed polymorph = 112 kJ/mol of formula units
Space-group type = No. 139
Formation enthalpy at 0 K = 0.59 eV/atom
Spin magnetization = 0.01 μB/cell

CIF file:
```
data_CuOsAu2
_cell_length_a 4.7598
_cell_length_b 4.7598
_cell_length_c 4.7598
_cell_angle_alpha 129.32
_cell_angle_beta 129.32
_cell_angle_gamma 74.49
_space_group_name_H-M_alt 'P 1'
_space_group_IT_number 1
loop_
_space_group_symop_operation_xyz
'x,y,z'
loop_
_atom_site_label
_atom_site_fract_x
_atom_site_fract_y
_atom_site_fract_z
Os1 0.7500 0.2500 0.5000
Au1 0.0000 0.0000 0.0000
Cu1 0.2500 0.7500 0.5000
Au2 0.5000 0.5000 0.0000
```

---

# 6
CuOsAu2: optimized geometry, PBE-GGA.

ΔE to the lowest computed polymorph = 0 kJ/mol of formula units
Space-group type = No. 160
Formation enthalpy at 0 K = 0.30 eV/atom
Spin magnetization = 0.00 μB/cell

CIF file:
```
data_CuOsAu2
_cell_length_a 9.5269
_cell_length_b 9.5269
_cell_length_c 9.5269
_cell_angle_alpha 16.79
_cell_angle_beta 16.79
_cell_angle_gamma 16.79
_space_group_name_H-M_alt 'P 1'
_space_group_IT_number 1
loop_
_space_group_symop_operation_xyz
'x,y,z'
loop_
_atom_site_label
_atom_site_fract_x
_atom_site_fract_y
_atom_site_fract_z
Au1 0.0037 0.0037 0.0037
Os1 0.7566 0.7566 0.7566
Au2 0.2433 0.2433 0.2433
Cu1 0.4965 0.4965 0.4965
```

---

# 7
CuOs2Au: optimized geometry, PBE-GGA.

ΔE to the lowest computed polymorph = 157 kJ/mol of formula units
Space-group type = No. 123
Formation enthalpy at 0 K = 0.66 eV/atom
Spin magnetization = 0.00 μB/cell

CIF file:
```
data_CuOs2Au
_cell_length_a 3.7565
_cell_length_b 3.7565
_cell_length_c 4.1893
_cell_angle_alpha 90.00
_cell_angle_beta 90.00
_cell_angle_gamma 90.00
_space_group_name_H-M_alt 'P 1'
_space_group_IT_number 1
loop_
_space_group_symop_operation_xyz
'x,y,z'
loop_
_atom_site_label
_atom_site_fract_x
_atom_site_fract_y
_atom_site_fract_z
Os1 0.0000 0.0000 0.0000
Cu1 0.0000 0.5000 0.5000
Au1 0.5000 0.0000 0.5000
Os2 0.5000 0.5000 0.0000
```

---

# 8
CuOs2Au: optimized geometry, PBE-GGA.

ΔE to the lowest computed polymorph = 163 kJ/mol of formula units
Space-group type = No. 139
Formation enthalpy at 0 K = 0.68 eV/atom
Spin magnetization = 0.00 μB/cell

CIF file:
```
data_CuOs2Au
_cell_length_a 4.9322
_cell_length_b 4.9322
_cell_length_c 4.9322
_cell_angle_alpha 135.05
_cell_angle_beta 135.05
_cell_angle_gamma 65.45
_space_group_name_H-M_alt 'P 1'
_space_group_IT_number 1
loop_
_space_group_symop_operation_xyz
'x,y,z'
loop_
_atom_site_label
_atom_site_fract_x
_atom_site_fract_y
_atom_site_fract_z
Au1 0.2500 0.7500 0.5000
Os1 0.0000 0.0000 0.0000
Cu1 0.7500 0.2500 0.5000
Os2 0.5000 0.5000 0.0000
```

---

# 9
CuOs2Au: optimized geometry, PBE-GGA.

ΔE to the lowest computed polymorph = 108 kJ/mol of formula units
Space-group type = No. 119
Formation enthalpy at 0 K = 0.53 eV/atom
Spin magnetization = 0.00 μB/cell

CIF file:
```
data_CuOs2Au
_cell_length_a 4.7028
_cell_length_b 4.7028
_cell_length_c 4.7028
_cell_angle_alpha 130.71
_cell_angle_beta 130.71
_cell_angle_gamma 72.28
_space_group_name_H-M_alt 'P 1'
_space_group_IT_number 1
loop_
_space_group_symop_operation_xyz
'x,y,z'
loop_
_atom_site_label
_atom_site_fract_x
_atom_site_fract_y
_atom_site_fract_z
Os1 0.0000 0.0000 0.0000
Cu1 0.7500 0.2500 0.5000
Os2 0.2500 0.7500 0.5000
Au1 0.5000 0.5000 0.0000
```

---

# 10
CuOs2Au: optimized geometry, PBE-GGA.

ΔE to the lowest computed polymorph = 95 kJ/mol of formula units
Space-group type = No. 12
Formation enthalpy at 0 K = 0.50 eV/atom
Spin magnetization = 0.00 μB/cell

CIF file:
```
data_CuOs2Au
_cell_length_a 4.8293
_cell_length_b 4.8293
_cell_length_c 4.7222
_cell_angle_alpha 79.46
_cell_angle_beta 79.46
_cell_angle_gamma 32.98
_space_group_name_H-M_alt 'P 1'
_space_group_IT_number 1
loop_
_space_group_symop_operation_xyz
'x,y,z'
loop_
_atom_site_label
_atom_site_fract_x
_atom_site_fract_y
_atom_site_fract_z
Au1 0.7500 0.7500 0.7500
Os1 0.9920 0.9920 0.0174
Cu1 0.2500 0.2500 0.2500
Os2 0.5080 0.5080 0.4826
```